1.
# Hf3SCl | Alexandria | PBE-GGA | relaxed
data_Hf3SCl
_space_group_name_H-M_alt 'P 1'
_space_group_IT_number 1
_cell_length_a 4.815
_cell_length_b 4.815
_cell_length_c 4.815
_cell_angle_alpha 90.00
_cell_angle_beta 90.00
_cell_angle_gamma 90.00
loop_
_space_group_symop_operation_xyz
'x,y,z'
loop_
_atom_site_label
_atom_site_fract_x
_atom_site_fract_y
_atom_site_fract_z
S1 0.000 0.000 0.000
Hf1 0.000 0.500 0.000
Hf2 0.000 0.000 0.500
Hf3 0.500 0.000 0.000
Cl1 0.500 0.500 0.500
# DFT total energy: -35.1 eV per cell
# D(E_F): 5.447 states/eV/cell
# formation energy without anion corrections: 0.14 eV per atom

2.
# Sc2NiPd | Alexandria | PBE-GGA | relaxed
data_Sc2NiPd
_space_group_name_H-M_alt 'P 1'
_space_group_IT_number 1
_cell_length_a 3.267
_cell_length_b 3.267
_cell_length_c 6.406
_cell_angle_alpha 90.00
_cell_angle_beta 90.00
_cell_angle_gamma 90.00
loop_
_space_group_symop_operation_xyz
'x,y,z'
loop_
_atom_site_label
_atom_site_fract_x
_atom_site_fract_y
_atom_site_fract_z
Sc1 0.000 0.000 0.762
Sc2 0.000 0.000 0.238
Ni1 0.500 0.500 0.000
Pd1 0.500 0.500 0.500
# DFT total energy: -26.4 eV per cell
# D(E_F): 3.492 states/eV/cell
# formation energy from the elements: -0.697 eV per atom